VASP calculation (PBE) on a relaxed InPbIO6 crystal.

POSCAR file:
```
InPbIO6
1.0
5.498 0.000 0.000
2.749 4.761 0.000
0.000 0.000 5.329
In Pb I O
1 1 1 6
Direct
0.667 0.667 0.500
0.000 0.000 0.000
0.333 0.333 0.500
0.037 0.355 0.293
0.355 0.037 0.707
0.608 0.355 0.707
0.037 0.608 0.707
0.355 0.608 0.293
0.608 0.037 0.293
```

Output
E_tot   -5.080 eV/atom
Space group   P312 (149)
Crystal system   trigonal
Formation energy from raw total energies   -0.886 eV/atom
D(E_F)   0.000 states/eV/f.u.
Total magnetic moment   0.00 μB/cell